{"formula": "ScBe2Os", "functional": "PBEsol", "state": "relaxed", "m_tot_mub_per_atom": 0.00, "crystal_system": "orthorhombic", "delta_e_f_ev_per_atom": -0.248, "cell": [[3.3359, 0.0000, 0.0000], [0.0000, 1.5757, 4.6422], [0.0000, -1.5757, 4.6422]], "species": ["Sc", "Be", "Be", "Os"], "frac_coords": [[0.0000, 0.0000, 0.0000], [0.0000, 0.7361, 0.7361], [0.5000, 0.6127, 0.6127], [0.5000, 0.3066, 0.3066]]}

---

{"formula": "Sc4BeOs", "functional": "PBEsol", "state": "relaxed", "m_tot_mub_per_atom": 0.00, "crystal_system": "cubic", "delta_e_f_ev_per_atom": 0.674, "cell": [[0.0000, 3.7779, 3.7779], [3.7779, 0.0000, 3.7779], [3.7779, 3.7779, 0.0000]], "species": ["Sc", "Sc", "Sc", "Sc", "Be", "Os"], "frac_coords": [[0.3771, 0.3771, 0.3771], [0.3771, 0.3771, 0.8686], [0.3771, 0.8686, 0.3771], [0.8686, 0.3771, 0.3771], [0.0000, 0.0000, 0.0000], [0.7500, 0.7500, 0.7500]]}